1.
A geometry-optimized LiHfTc2 structure, computed with PBE-GGA.

abc: 5.433 4.342 5.449
angles: 90.00 101.05 90.00
Element x y z (fractional)
Li (0.392, 0.500, 0.312)
Li (0.688, 0.000, 0.093)
Tc (0.891, 0.500, 0.806)
Tc (0.902, 0.500, 0.291)
Tc (0.087, 0.000, 0.486)
Tc (0.420, 0.500, 0.822)
Hf (0.170, 0.000, 0.000)
Hf (0.604, 0.000, 0.594)

Properties
Its symmetry is Pm. Its density is 10.0 Mg/m³. For the energy above the most stable polymorph in this dataset, the calculation gives 73 meV/atom.



2.
A geometry-optimized LiHfTc2 structure, computed with PBE-GGA.

abc: 5.236 4.438 5.421
angles: 90.00 95.26 90.00
Element x y z (fractional)
Hf (0.179, 0.000, 0.906)
Hf (0.683, 0.000, 0.606)
Li (0.888, 0.500, 0.971)
Li (0.178, 0.000, 0.393)
Tc (0.400, 0.500, 0.729)
Tc (0.453, 0.500, 0.243)
Tc (0.971, 0.500, 0.476)
Tc (0.653, 0.000, 0.117)

Properties
Its symmetry is Pm. Its density is 10.1 Mg/m³. For the energy above the most stable polymorph in this dataset, the calculation gives 104 meV/atom.



3.
A geometry-optimized LiHfTc structure, computed with PBE-GGA.

abc: 4.315 15.022 3.202
angles: 90.00 90.00 90.00
Element x y z (fractional)
Hf (0.500, 0.912, 0.750)
Hf (0.500, 0.088, 0.250)
Hf (0.000, 0.412, 0.750)
Hf (0.000, 0.588, 0.250)
Li (0.000, 0.765, 0.750)
Li (0.500, 0.265, 0.750)
Li (0.500, 0.735, 0.250)
Li (0.000, 0.235, 0.250)
Tc (0.500, 0.573, 0.750)
Tc (0.500, 0.427, 0.250)
Tc (0.000, 0.927, 0.250)
Tc (0.000, 0.073, 0.750)

Properties
Its symmetry is Cmcm. Its density is 9.1 Mg/m³. For the energy above the most stable polymorph in this dataset, the calculation gives 0 meV/atom.



4.
A geometry-optimized LiHfTc2 structure, computed with PBE-GGA.

abc: 5.336 4.380 5.474
angles: 90.00 100.05 90.00
Element x y z (fractional)
Li (0.490, 0.000, 0.992)
Li (0.289, 0.500, 0.106)
Hf (0.000, 0.000, 0.227)
Hf (0.538, 0.000, 0.515)
Tc (0.019, 0.000, 0.735)
Tc (0.770, 0.500, 0.870)
Tc (0.275, 0.500, 0.620)
Tc (0.774, 0.500, 0.342)

Properties
Its symmetry is Pm. Its density is 10.1 Mg/m³. For the energy above the most stable polymorph in this dataset, the calculation gives 45 meV/atom.



5.
A geometry-optimized LiHfTc structure, computed with PBE-GGA.

abc: 3.228 7.805 4.115
angles: 90.00 90.00 90.00
Element x y z (fractional)
Tc (0.500, 0.226, 0.500)
Tc (0.000, 0.774, 0.000)
Hf (0.500, 0.878, 0.500)
Hf (0.000, 0.122, 0.000)
Li (0.500, 0.471, 0.000)
Li (0.000, 0.529, 0.500)

Properties
Its symmetry is Pmmn. Its density is 9.1 Mg/m³. For the energy above the most stable polymorph in this dataset, the calculation gives 95 meV/atom.



6.
A geometry-optimized LiHfTc structure, computed with PBE-GGA.

abc: 14.541 4.381 3.252
angles: 90.00 90.00 90.00
Element x y z (fractional)
Hf (0.172, 0.000, 0.500)
Hf (0.828, 0.000, 0.500)
Hf (0.672, 0.500, 0.500)
Hf (0.328, 0.500, 0.500)
Li (0.500, 0.500, 0.000)
Li (0.500, 0.000, 0.500)
Li (0.000, 0.500, 0.500)
Li (0.000, 0.000, 0.000)
Tc (0.333, 0.000, 0.000)
Tc (0.167, 0.500, 0.000)
Tc (0.833, 0.500, 0.000)
Tc (0.667, 0.000, 0.000)

Properties
Its symmetry is Cmmm. Its density is 9.1 Mg/m³. For the energy above the most stable polymorph in this dataset, the calculation gives 12 meV/atom.



7.
A geometry-optimized LiHfTc2 structure, computed with PBE-GGA.

abc: 5.176 5.289 5.491
angles: 99.34 101.57 116.45
Element x y z (fractional)
Tc (0.369, 0.098, 0.109)
Tc (0.382, 0.582, 0.358)
Tc (0.876, 0.064, 0.863)
Tc (0.394, 0.053, 0.616)
Li (0.360, 0.577, 0.850)
Li (0.869, 0.592, 0.593)
Hf (0.884, 0.090, 0.371)
Hf (0.890, 0.563, 0.085)

Properties
Its symmetry is P1. Its density is 10.0 Mg/m³. For the energy above the most stable polymorph in this dataset, the calculation gives 97 meV/atom.



8.
A geometry-optimized Li2HfTc structure, computed with PBE-GGA.

abc: 3.681 3.681 10.883
angles: 80.26 80.26 90.00
Element x y z (fractional)
Hf (0.750, 0.250, 0.500)
Hf (0.000, 0.000, 0.000)
Li (0.598, 0.125, 0.250)
Li (0.375, 0.402, 0.750)
Li (0.152, 0.625, 0.250)
Li (0.875, 0.848, 0.750)
Tc (0.250, 0.750, 0.500)
Tc (0.500, 0.500, 0.000)

Properties
Its symmetry is I-42d. Its density is 6.7 Mg/m³. For the energy above the most stable polymorph in this dataset, the calculation gives 0 meV/atom.



9.
A geometry-optimized Li3HfTc structure, computed with PBE-GGA.

abc: 4.420 4.420 4.420
angles: 90.00 90.00 90.00
Element x y z (fractional)
Tc (0.000, 0.000, 0.000)
Li (0.000, 0.500, 0.000)
Li (0.000, 0.000, 0.500)
Li (0.500, 0.000, 0.000)
Hf (0.500, 0.500, 0.500)

Properties
Its symmetry is Pm-3m. Its density is 5.7 Mg/m³. For the energy above the most stable polymorph in this dataset, the calculation gives 0 meV/atom.



10.
A geometry-optimized LiHf2Tc structure, computed with PBE-GGA.

abc: 4.636 4.636 4.636
angles: 60.00 60.00 60.00
Element x y z (fractional)
Hf (0.750, 0.750, 0.750)
Hf (0.250, 0.250, 0.250)
Li (0.000, 0.000, 0.000)
Tc (0.500, 0.500, 0.500)

Properties
Its symmetry is Fm-3m. Its density is 10.9 Mg/m³. For the energy above the most stable polymorph in this dataset, the calculation gives 0 meV/atom.



11.
A geometry-optimized LiHfTc2 structure, computed with PBE-GGA.

abc: 6.269 4.394 9.671
angles: 90.00 108.83 90.00
Element x y z (fractional)
Hf (0.026, 0.000, 0.775)
Hf (0.438, 0.500, 0.555)
Hf (0.438, 0.000, 0.055)
Hf (0.026, 0.500, 0.275)
Li (0.540, 0.500, 0.284)
Li (0.797, 0.000, 0.300)
Li (0.540, 0.000, 0.784)
Li (0.797, 0.500, 0.800)
Tc (0.922, 0.500, 0.541)
Tc (0.668, 0.500, 0.019)
Tc (0.922, 0.000, 0.041)
Tc (0.284, 0.500, 0.803)
Tc (0.284, 0.000, 0.303)
Tc (0.171, 0.000, 0.532)
Tc (0.171, 0.500, 0.032)
Tc (0.668, 0.000, 0.519)

Properties
Its symmetry is Cm. Its density is 10.0 Mg/m³. For the energy above the most stable polymorph in this dataset, the calculation gives 38 meV/atom.



12.
A geometry-optimized LiHfTc2 structure, computed with PBE-GGA.

abc: 4.444 6.613 8.606
angles: 90.00 90.00 90.00
Element x y z (fractional)
Hf (0.750, 0.351, 0.209)
Hf (0.250, 0.649, 0.209)
Hf (0.250, 0.149, 0.709)
Hf (0.750, 0.851, 0.709)
Li (0.250, 0.862, 0.947)
Li (0.750, 0.638, 0.447)
Li (0.750, 0.138, 0.947)
Li (0.250, 0.362, 0.447)
Tc (0.750, 0.607, 0.957)
Tc (0.250, 0.631, 0.683)
Tc (0.250, 0.893, 0.457)
Tc (0.250, 0.131, 0.183)
Tc (0.250, 0.393, 0.957)
Tc (0.750, 0.869, 0.183)
Tc (0.750, 0.369, 0.683)
Tc (0.750, 0.107, 0.457)

Properties
Its symmetry is Ama2. Its density is 10.0 Mg/m³. For the energy above the most stable polymorph in this dataset, the calculation gives 91 meV/atom.